# Re3HgBr | the Alexandria database | PBE-GGA | relaxed
# E_tot, eV per cell: -22.8
# Total magnetic moment, μB per formula unit: 13.24
# Fermi-level density of states, states/eV per atom: 0.688
# Formation energy (no corrections), eV per formula unit: 16.50
data_Re3HgBr
_chemical_formula_sum 'Re3 Hg1 Br1'
_symmetry_space_group_name_H-M 'P m -3 m'
_symmetry_Int_Tables_number 221
_symmetry_space_group_name_Hall '-P 4 2 3'
_cell_length_a 5.337
_cell_length_b 5.337
_cell_length_c 5.337
_cell_angle_alpha 90.00
_cell_angle_beta 90.00
_cell_angle_gamma 90.00
loop_
_atom_site_label
_atom_site_fract_x
_atom_site_fract_y
_atom_site_fract_z
Re1 0.000 0.000 0.500
Hg1 0.000 0.000 0.000
Br1 0.500 0.500 0.500